# Li2CaSi

An optimized crystal structure of Li2CaSi (GGA-PBE, Alexandria).

```
8
Lattice="4.817 0.000 0.000 0.000 4.822 0.000 0.000 0.000 6.826" Properties=species:S:1:pos:R:3 pbc="T T T"
Li 0.000 0.000 0.000
Li 0.000 2.411 1.711
Li 2.409 0.000 5.124
Li 2.409 2.411 3.413
Ca 0.000 0.000 3.414
Ca 2.409 2.411 0.001
Si 0.000 2.411 5.118
Si 2.409 0.000 1.705
```

- Space-group type: No. 44
- ΔE_f (raw): -0.2545 eV per atom
- Size of the total moment: 0.0 μB/cell

# Ce2TlI

An optimized crystal structure of Ce2TlI (GGA-PBE, Alexandria).

```
12
Lattice="4.654 0.000 0.000 -2.327 4.030 0.000 0.000 0.000 20.931" Properties=species:S:1:pos:R:3 pbc="T T T"
Ce 0.000 0.000 5.180
Ce 0.000 0.000 15.752
Ce 0.000 2.687 8.775
Ce 0.000 2.687 19.134
Ce 2.327 1.343 1.798
Ce 2.327 1.343 12.157
Tl 0.000 0.000 10.466
Tl 0.000 2.687 3.489
Tl 2.327 1.343 17.443
I 0.000 0.000 0.000
I 0.000 2.687 13.954
I 2.327 1.343 6.977
```

- Space-group type: No. 166
- ΔE_f (raw): -0.4473 eV per atom
- Size of the total moment: 5.7 μB/cell